# 1
First-principles (PBE) data for a relaxed BeBiAsSe2 crystal, as listed in Alexandria via LeMat-Bulk.

a b c (Å): 4.698 4.698 4.681
angles (deg): 90.00 90.00 90.00
Positions (direct):
Be: 0.000 0.000 0.000
Bi: 0.500 0.500 0.500
As: 0.000 0.000 0.500
Se: 0.000 0.500 0.000
Se: 0.500 0.000 0.000

## Properties
E_form (uncorrected), eV/atom: 0.184
Distance to the lowest polymorph of the same formula, kJ/mol of formula units: 0

=====

# 2
First-principles (PBE) data for a relaxed NiW crystal, as listed in Alexandria via LeMat-Bulk.

a b c (Å): 4.916 4.916 4.916
angles (deg): 90.00 90.00 90.00
Positions (direct):
Ni: 0.000 0.000 0.000
Ni: 0.000 0.500 0.500
Ni: 0.500 0.000 0.500
Ni: 0.500 0.500 0.000
W: 0.000 0.000 0.500
W: 0.000 0.500 0.000
W: 0.500 0.000 0.000
W: 0.500 0.500 0.500

## Properties
VASP energy, eV/atom: -8.443

=====

# 3
First-principles (PBE) data for a relaxed Ti2MnSb crystal, as listed in Alexandria via LeMat-Bulk.

a b c (Å): 7.204 7.204 5.357
angles (deg): 90.00 90.00 90.00
Positions (direct):
Ti: 0.187 0.750 0.125
Ti: 0.250 0.187 0.875
Ti: 0.250 0.313 0.375
Ti: 0.313 0.750 0.625
Ti: 0.687 0.250 0.625
Ti: 0.750 0.687 0.375
Ti: 0.750 0.813 0.875
Ti: 0.813 0.250 0.125
Mn: 0.000 0.000 0.000
Mn: 0.000 0.500 0.250
Mn: 0.500 0.000 0.750
Mn: 0.500 0.500 0.500
Sb: 0.000 0.000 0.500
Sb: 0.000 0.500 0.750
Sb: 0.500 0.000 0.250
Sb: 0.500 0.500 0.000

## Properties
E_form (uncorrected), eV/atom: 0.121

=====

# 4
First-principles (PBE) data for a relaxed PrDyGaPt crystal, as listed in Alexandria via LeMat-Bulk.

a b c (Å): 7.237 7.237 7.237
angles (deg): 90.00 90.00 90.00
Positions (direct):
Pr: 0.000 0.000 0.000
Pr: 0.000 0.500 0.500
Pr: 0.500 0.000 0.500
Pr: 0.500 0.500 0.000
Dy: 0.000 0.000 0.500
Dy: 0.000 0.500 0.000
Dy: 0.500 0.000 0.000
Dy: 0.500 0.500 0.500
Ga: 0.250 0.250 0.250
Ga: 0.250 0.750 0.750
Ga: 0.750 0.250 0.750
Ga: 0.750 0.750 0.250
Pt: 0.250 0.250 0.750
Pt: 0.250 0.750 0.250
Pt: 0.750 0.250 0.250
Pt: 0.750 0.750 0.750

## Properties
Distance to the lowest polymorph of the same formula, kJ/mol of formula units: 40

=====

# 5
First-principles (PBE) data for a relaxed Ta4FeB3 crystal, as listed in Alexandria via LeMat-Bulk.

a b c (Å): 3.199 3.325 9.263
angles (deg): 90.00 90.00 90.00
Positions (direct):
Ta: 0.000 0.000 0.000
Ta: 0.000 0.500 0.471
Ta: 0.500 0.000 0.272
Ta: 0.500 0.500 0.800
Fe: 0.500 0.000 0.580
B: 0.000 0.000 0.736
B: 0.000 0.500 0.197
B: 0.500 0.500 0.076

## Properties
VASP energy, eV/atom: -10.014

=====

# 6
First-principles (PBE) data for a relaxed KCd3Ru crystal, as listed in Alexandria via LeMat-Bulk.

a b c (Å): 6.059 6.059 6.059
angles (deg): 90.00 90.00 90.00
Positions (direct):
K: 0.000 0.000 0.000
Cd: 0.000 0.000 0.500
Cd: 0.000 0.500 0.000
Cd: 0.500 0.000 0.000
Ru: 0.500 0.500 0.500

## Properties
Distance to the lowest polymorph of the same formula, kJ/mol of formula units: 672

=====

# 7
First-principles (PBE) data for a relaxed MnCl4 crystal, as listed in Alexandria via LeMat-Bulk.

a b c (Å): 6.102 6.102 6.102
angles (deg): 90.00 90.00 90.00
Positions (direct):
Mn: 0.000 0.000 0.000
Mn: 0.500 0.500 0.500
Cl: 0.250 0.250 0.250
Cl: 0.250 0.250 0.750
Cl: 0.250 0.750 0.250
Cl: 0.250 0.750 0.750
Cl: 0.750 0.250 0.250
Cl: 0.750 0.250 0.750
Cl: 0.750 0.750 0.250
Cl: 0.750 0.750 0.750

## Properties
E_form (uncorrected), eV/atom: -0.182

=====

# 8
First-principles (PBE) data for a relaxed LiAl2Ag crystal, as listed in Alexandria via LeMat-Bulk.

a b c (Å): 2.927 4.785 9.521
angles (deg): 90.00 90.00 90.00
Positions (direct):
Li: 0.000 0.000 0.000
Li: 0.500 0.500 0.500
Al: 0.000 0.500 0.238
Al: 0.000 0.500 0.762
Al: 0.500 0.000 0.262
Al: 0.500 0.000 0.738
Ag: 0.000 0.000 0.500
Ag: 0.500 0.500 0.000

## Properties
Distance to the lowest polymorph of the same formula, kJ/mol of formula units: 15

=====

| no. | DOS at the Fermi energy (states/eV/f.u.) | calculated volume (A^3/atom) |
| --- | --- | --- |
| 1 | 3.846 | 20.7 |
| 2 | 3.109 | 14.9 |
| 3 | 4.431 | 17.4 |
| 4 | 3.222 | 23.7 |
| 5 | 3.282 | 12.3 |
| 6 | 1.627 | 44.5 |
| 7 | 5.147 | 22.7 |
| 8 | 0.834 | 16.7 |